This record from Alexandria describes a relaxed Sm4Ho8Sc crystal. The functional is PBE-GGA.

a b c (Å): 7.7043 7.7043 7.7043
angles (deg): 90.00 90.00 90.00
Last column: nearest neighbours and their distance in Å.
Space group Pm-3m (No. 221)
Inequivalent atoms, fractional coordinates:
Sm  0.0000  0.0000  0.0000  8 Ho 3.23
Sm  0.0000  0.5000  0.5000  8 Ho 3.37
Ho  0.2423  0.2423  0.2423  4 Sm 3.23-3.37, 1 Sc 3.44
Sc  0.5000  0.5000  0.5000  8 Ho 3.44

Computed properties:
E_form   12.1 kcal/mol of atoms
Crystal system   cubic

=====

This record from Alexandria describes a relaxed Sm4Ho5Sc3 crystal. The functional is PBE-GGA.

a b c (Å): 15.9049 5.7399 9.1597
angles (deg): 90.00 117.34 90.00
Last column: nearest neighbours and their distance in Å.
Space group C2/m (No. 12)
Inequivalent atoms, fractional coordinates:
Sm  0.0848  0.0000  0.4468  2 Sm 3.26-3.55, 5 Ho 3.38-3.63, 1 Sc 3.42
Sm  0.2177  0.0000  0.8820  3 Sc 3.27-3.40, 3 Sm 3.45-3.55, 3 Ho 3.53-3.57
Ho  0.0000  0.0000  0.0000  4 Sc 2.87-3.12
Ho  0.0714  0.5000  0.7122  2 Sc 3.19-3.31, 1 Ho 3.49, 2 Sm 3.57
Ho  0.1723  0.5000  0.3769  4 Sc 3.14-3.34, 3 Sm 3.38-3.44
Sc  0.0000  0.5000  0.0000  2 Ho 2.87
Sc  0.2165  0.0000  0.2380  5 Ho 3.12-3.34, 4 Sm 3.27-3.42

Computed properties:
E_form   4.9 kcal/mol of atoms
Crystal system   monoclinic

=====

This record from Alexandria describes a relaxed Sm4HoSc crystal. The functional is PBE-GGA.

a b c (Å): 6.1547 10.6148 6.1528
angles (deg): 90.00 109.38 90.00
Last column: nearest neighbours and their distance in Å.
Space group C2/m (No. 12)
Inequivalent atoms, fractional coordinates:
Sm  0.0000  0.1636  0.0000  7 Sm 3.47-3.58, 2 Sc 3.53, 3 Ho 3.53-3.57
Sm  0.0000  0.3336  0.5000  7 Sm 3.53-3.57, 3 Sc 3.54-3.55, 2 Ho 3.55
Ho  0.0000  0.5000  0.0000  10 Sm 3.53-3.57, 2 Sc 3.56
Sc  0.0000  0.0000  0.5000  10 Sm 3.53-3.55, 2 Ho 3.56

Computed properties:
Energy above the most stable polymorph in this dataset   0 meV/atom
E_form   0.8 kcal/mol of atoms
Crystal system   monoclinic

=====

no.,M_tot (μB/atom)
1,0.001
2,0.056
3,0.000